# 1
LiBe2Hg | PBE-GGA | optimized geometry

```
data_LiBe2Hg
_space_group_name_H-M_alt 'P 1'
_space_group_IT_number 1
_cell_length_a 4.217
_cell_length_b 2.684
_cell_length_c 4.773
_cell_angle_alpha 86.40
_cell_angle_beta 90.00
_cell_angle_gamma 90.00
loop_
_space_group_symop_operation_xyz
'x,y,z'
loop_
_atom_site_label
_atom_site_fract_x
_atom_site_fract_y
_atom_site_fract_z
Be1 0.000 0.033 0.961
Be2 0.000 0.467 0.539
Li1 0.500 0.750 0.750
Hg1 0.500 0.250 0.250
```

## Properties
As for the space group: P2/m (10).

# 2
LiBe2Hg | PBE-GGA | optimized geometry

```
data_LiBe2Hg
_space_group_name_H-M_alt 'P 1'
_space_group_IT_number 1
_cell_length_a 3.029
_cell_length_b 2.795
_cell_length_c 6.973
_cell_angle_alpha 66.02
_cell_angle_beta 90.00
_cell_angle_gamma 90.00
loop_
_space_group_symop_operation_xyz
'x,y,z'
loop_
_atom_site_label
_atom_site_fract_x
_atom_site_fract_y
_atom_site_fract_z
Hg1 0.000 0.519 0.483
Li1 0.500 0.711 0.788
Be1 0.000 0.950 0.050
Be2 0.500 0.320 0.179
```

## Properties
As for the space group: Pm (6).

# 3
Li2BeHg | PBE-GGA | optimized geometry

```
data_Li2BeHg
_space_group_name_H-M_alt 'P 1'
_space_group_IT_number 1
_cell_length_a 8.313
_cell_length_b 8.313
_cell_length_c 8.313
_cell_angle_alpha 22.71
_cell_angle_beta 22.71
_cell_angle_gamma 22.71
loop_
_space_group_symop_operation_xyz
'x,y,z'
loop_
_atom_site_label
_atom_site_fract_x
_atom_site_fract_y
_atom_site_fract_z
Be1 0.495 0.495 0.495
Hg1 0.761 0.761 0.761
Li1 0.007 0.007 0.007
Li2 0.236 0.236 0.236
```

## Properties
As for the space group: R3m (160). The energy above the most stable polymorph in this dataset is 0.319 eV per atom.

# 4
LiBe2Hg | PBE-GGA | optimized geometry

```
data_LiBe2Hg
_space_group_name_H-M_alt 'P 1'
_space_group_IT_number 1
_cell_length_a 4.573
_cell_length_b 4.991
_cell_length_c 2.779
_cell_angle_alpha 76.13
_cell_angle_beta 85.15
_cell_angle_gamma 115.76
loop_
_space_group_symop_operation_xyz
'x,y,z'
loop_
_atom_site_label
_atom_site_fract_x
_atom_site_fract_y
_atom_site_fract_z
Li1 0.500 0.500 0.000
Be1 0.500 0.000 0.500
Be2 0.000 0.000 0.000
Hg1 0.000 0.500 0.500
```

## Properties
As for the space group: C2/m (12).

# 5
LiBe2Hg | PBE-GGA | optimized geometry

```
data_LiBe2Hg
_space_group_name_H-M_alt 'P 1'
_space_group_IT_number 1
_cell_length_a 9.013
_cell_length_b 9.013
_cell_length_c 9.013
_cell_angle_alpha 17.73
_cell_angle_beta 17.73
_cell_angle_gamma 17.73
loop_
_space_group_symop_operation_xyz
'x,y,z'
loop_
_atom_site_label
_atom_site_fract_x
_atom_site_fract_y
_atom_site_fract_z
Be1 0.005 0.005 0.005
Be2 0.495 0.495 0.495
Li1 0.750 0.750 0.750
Hg1 0.250 0.250 0.250
```

## Properties
As for the space group: R-3m (166).

# 6
LiBeHg3 | PBE-GGA | optimized geometry

```
data_LiBeHg3
_space_group_name_H-M_alt 'P 1'
_space_group_IT_number 1
_cell_length_a 4.805
_cell_length_b 4.805
_cell_length_c 4.805
_cell_angle_alpha 90.00
_cell_angle_beta 90.00
_cell_angle_gamma 90.00
loop_
_space_group_symop_operation_xyz
'x,y,z'
loop_
_atom_site_label
_atom_site_fract_x
_atom_site_fract_y
_atom_site_fract_z
Hg1 0.500 0.000 0.000
Hg2 0.000 0.000 0.500
Hg3 0.000 0.500 0.000
Li1 0.500 0.500 0.500
Be1 0.000 0.000 0.000
```

## Properties
As for the space group: Pm-3m (221). The energy above the most stable polymorph in this dataset is 0.000 eV per atom.

# 7
Li2Be2Hg | PBE-GGA | optimized geometry

```
data_Li2Be2Hg
_space_group_name_H-M_alt 'P 1'
_space_group_IT_number 1
_cell_length_a 6.500
_cell_length_b 6.500
_cell_length_c 3.168
_cell_angle_alpha 90.00
_cell_angle_beta 90.00
_cell_angle_gamma 90.00
loop_
_space_group_symop_operation_xyz
'x,y,z'
loop_
_atom_site_label
_atom_site_fract_x
_atom_site_fract_y
_atom_site_fract_z
Be1 0.880 0.620 0.000
Be2 0.380 0.880 0.000
Be3 0.620 0.120 0.000
Be4 0.120 0.380 0.000
Li1 0.169 0.669 0.500
Li2 0.331 0.169 0.500
Li3 0.831 0.331 0.500
Li4 0.669 0.831 0.500
Hg1 0.000 0.000 0.000
Hg2 0.500 0.500 0.000
```

## Properties
As for the space group: P4/mbm (127).

# 8
Li2BeHg | PBE-GGA | optimized geometry

```
data_Li2BeHg
_space_group_name_H-M_alt 'P 1'
_space_group_IT_number 1
_cell_length_a 9.227
_cell_length_b 9.227
_cell_length_c 9.227
_cell_angle_alpha 18.29
_cell_angle_beta 18.29
_cell_angle_gamma 18.29
loop_
_space_group_symop_operation_xyz
'x,y,z'
loop_
_atom_site_label
_atom_site_fract_x
_atom_site_fract_y
_atom_site_fract_z
Li1 0.506 0.506 0.506
Li2 0.994 0.994 0.994
Hg1 0.750 0.750 0.750
Be1 0.250 0.250 0.250
```

## Properties
As for the space group: R-3m (166). The energy above the most stable polymorph in this dataset is 0.274 eV per atom.

# 9
LiBe4Hg | PBE-GGA | optimized geometry

```
data_LiBe4Hg
_space_group_name_H-M_alt 'P 1'
_space_group_IT_number 1
_cell_length_a 4.503
_cell_length_b 4.503
_cell_length_c 4.503
_cell_angle_alpha 60.00
_cell_angle_beta 60.00
_cell_angle_gamma 60.00
loop_
_space_group_symop_operation_xyz
'x,y,z'
loop_
_atom_site_label
_atom_site_fract_x
_atom_site_fract_y
_atom_site_fract_z
Be1 0.375 0.876 0.375
Be2 0.876 0.375 0.375
Be3 0.375 0.375 0.375
Be4 0.375 0.375 0.876
Li1 0.000 0.000 0.000
Hg1 0.750 0.750 0.750
```

## Properties
As for the space group: F-43m (216).

# 10
Li2BeHg2 | PBE-GGA | optimized geometry

```
data_Li2BeHg2
_space_group_name_H-M_alt 'P 1'
_space_group_IT_number 1
_cell_length_a 6.692
_cell_length_b 6.692
_cell_length_c 4.031
_cell_angle_alpha 90.00
_cell_angle_beta 90.00
_cell_angle_gamma 90.00
loop_
_space_group_symop_operation_xyz
'x,y,z'
loop_
_atom_site_label
_atom_site_fract_x
_atom_site_fract_y
_atom_site_fract_z
Li1 0.654 0.846 0.500
Li2 0.346 0.154 0.500
Li3 0.154 0.654 0.500
Li4 0.846 0.346 0.500
Be1 0.500 0.500 0.000
Be2 0.000 0.000 0.000
Hg1 0.838 0.662 0.000
Hg2 0.338 0.838 0.000
Hg3 0.662 0.162 0.000
Hg4 0.162 0.338 0.000
```

## Properties
As for the space group: P4/mbm (127). The energy above the most stable polymorph in this dataset is 0.000 eV per atom.

# 11
Li2BeHg | PBE-GGA | optimized geometry

```
data_Li2BeHg
_space_group_name_H-M_alt 'P 1'
_space_group_IT_number 1
_cell_length_a 7.222
_cell_length_b 7.222
_cell_length_c 5.659
_cell_angle_alpha 50.34
_cell_angle_beta 50.34
_cell_angle_gamma 90.00
loop_
_space_group_symop_operation_xyz
'x,y,z'
loop_
_atom_site_label
_atom_site_fract_x
_atom_site_fract_y
_atom_site_fract_z
Li1 0.875 0.849 0.750
Li2 0.151 0.625 0.250
Li3 0.375 0.401 0.750
Li4 0.599 0.125 0.250
Hg1 0.000 0.000 0.000
Hg2 0.750 0.250 0.500
Be1 0.250 0.750 0.500
Be2 0.500 0.500 0.000
```

## Properties
As for the space group: I-42d (122). The energy above the most stable polymorph in this dataset is 0.231 eV per atom.

# 12
Li2BeHg | PBE-GGA | optimized geometry

```
data_Li2BeHg
_space_group_name_H-M_alt 'P 1'
_space_group_IT_number 1
_cell_length_a 4.997
_cell_length_b 4.997
_cell_length_c 4.997
_cell_angle_alpha 136.26
_cell_angle_beta 136.26
_cell_angle_gamma 63.58
loop_
_space_group_symop_operation_xyz
'x,y,z'
loop_
_atom_site_label
_atom_site_fract_x
_atom_site_fract_y
_atom_site_fract_z
Hg1 0.750 0.250 0.500
Be1 0.250 0.750 0.500
Li1 0.000 0.000 0.000
Li2 0.500 0.500 0.000
```

## Properties
As for the space group: I4/mmm (139). The energy above the most stable polymorph in this dataset is 0.081 eV per atom.

Electronic total energy readings, ordered: -8.357, -8.913, -6.843, -8.206, -7.179, -6.153, -21.604, -7.022, -16.888, -16.346, -14.392, -7.797 eV per cell
Total magnetization readings, ordered: 0.000, 0.000, 0.000, 0.000, 0.000, 0.000, 0.000, 0.000, 0.000, 0.000, 0.000, 0.000 μB per atom